(1)
# Th2NbOs

An optimized crystal structure of Th2NbOs (GGA-PBE, Alexandria).

Summary:
Magnetic moment in μB/cell: 0.0
Calculated volume in Å³/cell: 95
N(E_F) in states/eV/f.u.: 5.64
E_tot in eV/atom: -8.36

Geometry as CIF:
```
data_Th2NbOs
_symmetry_space_group_name_H-M 'P 1'
_symmetry_Int_Tables_number 1
_symmetry_space_group_name_Hall 'P 1'
_cell_length_a 10.7483
_cell_length_b 10.7483
_cell_length_c 10.7483
_cell_angle_alpha 17.21
_cell_angle_beta 17.21
_cell_angle_gamma 17.21
loop_
_atom_site_label
_atom_site_fract_x
_atom_site_fract_y
_atom_site_fract_z
_atom_site_occupancy
Th1 0.0926 0.0926 0.0926 1
Th2 0.9074 0.9074 0.9074 1
Nb1 0.0000 0.0000 0.0000 1
Os1 0.5000 0.5000 0.5000 1
```

(2)
# ThNbOs4

An optimized crystal structure of ThNbOs4 (GGA-PBE, Alexandria).

Summary:
Magnetic moment in μB/cell: 0.0
Calculated volume in Å³/cell: 107
N(E_F) in states/eV/f.u.: 6.38
E_tot in eV/atom: -10.39

Geometry as CIF:
```
data_ThNbOs4
_symmetry_space_group_name_H-M 'P 1'
_symmetry_Int_Tables_number 1
_symmetry_space_group_name_Hall 'P 1'
_cell_length_a 5.3330
_cell_length_b 5.3330
_cell_length_c 5.3330
_cell_angle_alpha 60.00
_cell_angle_beta 60.00
_cell_angle_gamma 60.00
loop_
_atom_site_label
_atom_site_fract_x
_atom_site_fract_y
_atom_site_fract_z
_atom_site_occupancy
Th1 0.0000 0.0000 0.0000 1
Nb1 0.7500 0.7500 0.7500 1
Os1 0.3751 0.3751 0.3751 1
Os2 0.3751 0.3751 0.8748 1
Os3 0.3751 0.8748 0.3751 1
Os4 0.8748 0.3751 0.3751 1
```

(3)
# ThNbOs

An optimized crystal structure of ThNbOs (GGA-PBE, Alexandria).

Summary:
Magnetic moment in μB/cell: 0.0
Calculated volume in Å³/cell: 64
N(E_F) in states/eV/f.u.: 3.86
E_tot in eV/atom: -9.58
Energy above the lowest structure with this stoichiometry in kJ per mole of atoms: 12.9

Geometry as CIF:
```
data_ThNbOs
_symmetry_space_group_name_H-M 'P 1'
_symmetry_Int_Tables_number 1
_symmetry_space_group_name_Hall 'P 1'
_cell_length_a 6.4722
_cell_length_b 6.4722
_cell_length_c 6.4722
_cell_angle_alpha 150.85
_cell_angle_beta 150.85
_cell_angle_gamma 41.69
loop_
_atom_site_label
_atom_site_fract_x
_atom_site_fract_y
_atom_site_fract_z
_atom_site_occupancy
Th1 0.0000 0.0000 0.0000 1
Nb1 0.7046 0.7046 0.0000 1
Os1 0.3160 0.3160 0.0000 1
```

(4)
# ThNbOs

An optimized crystal structure of ThNbOs (GGA-PBE, Alexandria).

Summary:
Magnetic moment in μB/cell: 0.0
Calculated volume in Å³/cell: 393
N(E_F) in states/eV/f.u.: 3.11
E_tot in eV/atom: -9.71
Energy above the lowest structure with this stoichiometry in kJ per mole of atoms: 0.0

Geometry as CIF:
```
data_ThNbOs
_symmetry_space_group_name_H-M 'P 1'
_symmetry_Int_Tables_number 1
_symmetry_space_group_name_Hall 'P 1'
_cell_length_a 8.6330
_cell_length_b 8.6330
_cell_length_c 8.6330
_cell_angle_alpha 124.18
_cell_angle_beta 77.81
_cell_angle_gamma 130.48
loop_
_atom_site_label
_atom_site_fract_x
_atom_site_fract_y
_atom_site_fract_z
_atom_site_occupancy
Th1 0.0084 0.2500 0.2584 1
Th2 0.4325 0.8877 0.0448 1
Th3 0.4388 0.4059 0.5329 1
Th4 0.8430 0.3877 0.9552 1
Th5 0.8729 0.9059 0.4671 1
Th6 0.9916 0.7500 0.7416 1
Nb1 0.1887 0.3296 0.8991 1
Nb2 0.1887 0.7896 0.3592 1
Nb3 0.4304 0.2896 0.1009 1
Nb4 0.4304 0.8296 0.6408 1
Nb5 0.6528 0.1528 0.5000 1
Nb6 0.6528 0.6528 0.0000 1
Os1 0.1037 0.4504 0.6666 1
Os2 0.1037 0.9371 0.1534 1
Os3 0.3872 0.1626 0.7247 1
Os4 0.4379 0.6626 0.2753 1
Os5 0.7838 0.4371 0.3334 1
Os6 0.7838 0.9504 0.8466 1
```

(5)
# Ti5Nb2Os

An optimized crystal structure of Ti5Nb2Os (GGA-PBE, Alexandria).

Summary:
Magnetic moment in μB/cell: 0.0
Calculated volume in Å³/cell: 132
N(E_F) in states/eV/f.u.: 13.11
E_tot in eV/atom: -9.00

Geometry as CIF:
```
data_Ti5Nb2Os
_symmetry_space_group_name_H-M 'P 1'
_symmetry_Int_Tables_number 1
_symmetry_space_group_name_Hall 'P 1'
_cell_length_a 7.2686
_cell_length_b 7.2686
_cell_length_c 7.2686
_cell_angle_alpha 143.92
_cell_angle_beta 143.92
_cell_angle_gamma 51.95
loop_
_atom_site_label
_atom_site_fract_x
_atom_site_fract_y
_atom_site_fract_z
_atom_site_occupancy
Ti1 0.0000 0.0000 0.0000 1
Ti2 0.1165 0.6165 0.5000 1
Ti3 0.3835 0.8835 0.5000 1
Ti4 0.6165 0.1165 0.5000 1
Ti5 0.8835 0.3835 0.5000 1
Nb1 0.2452 0.2452 0.0000 1
Nb2 0.7548 0.7548 0.0000 1
Os1 0.5000 0.5000 0.0000 1
```

(6)
# TiNb2Os2

An optimized crystal structure of TiNb2Os2 (GGA-PBE, Alexandria).

Summary:
Magnetic moment in μB/cell: 0.0
Calculated volume in Å³/cell: 173
N(E_F) in states/eV/f.u.: 6.18
E_tot in eV/atom: -10.11
Energy above the lowest structure with this stoichiometry in kJ per mole of atoms: 0.0

Geometry as CIF:
```
data_TiNb2Os2
_symmetry_space_group_name_H-M 'P 1'
_symmetry_Int_Tables_number 1
_symmetry_space_group_name_Hall 'P 1'
_cell_length_a 7.4393
_cell_length_b 7.4393
_cell_length_c 3.1170
_cell_angle_alpha 90.00
_cell_angle_beta 90.00
_cell_angle_gamma 90.00
loop_
_atom_site_label
_atom_site_fract_x
_atom_site_fract_y
_atom_site_fract_z
_atom_site_occupancy
Ti1 0.0000 0.0000 0.0000 1
Ti2 0.5000 0.5000 0.0000 1
Nb1 0.1642 0.3358 0.5000 1
Nb2 0.3358 0.8358 0.5000 1
Nb3 0.6642 0.1642 0.5000 1
Nb4 0.8358 0.6642 0.5000 1
Os1 0.1372 0.6372 0.0000 1
Os2 0.3628 0.1372 0.0000 1
Os3 0.6372 0.8628 0.0000 1
Os4 0.8628 0.3628 0.0000 1
```

> Which formula does entry 4 have?

ThNbOs

> Number 2 is which compound?

ThNbOs4

Copy entry 3 word for word.
# ThNbOs

An optimized crystal structure of ThNbOs (GGA-PBE, Alexandria).

Summary:
Magnetic moment in μB/cell: 0.0
Calculated volume in Å³/cell: 64
N(E_F) in states/eV/f.u.: 3.86
E_tot in eV/atom: -9.58
Energy above the lowest structure with this stoichiometry in kJ per mole of atoms: 12.9

Geometry as CIF:
```
data_ThNbOs
_symmetry_space_group_name_H-M 'P 1'
_symmetry_Int_Tables_number 1
_symmetry_space_group_name_Hall 'P 1'
_cell_length_a 6.4722
_cell_length_b 6.4722
_cell_length_c 6.4722
_cell_angle_alpha 150.85
_cell_angle_beta 150.85
_cell_angle_gamma 41.69
loop_
_atom_site_label
_atom_site_fract_x
_atom_site_fract_y
_atom_site_fract_z
_atom_site_occupancy
Th1 0.0000 0.0000 0.0000 1
Nb1 0.7046 0.7046 0.0000 1
Os1 0.3160 0.3160 0.0000 1
```

> What is the calculated volume in the third record?

64 Å³/cell